Entry 1:
Below is KUMnTe3 after structural relaxation, with properties calculated at the PBE level.

Calculated values
Raw formation energy   -0.623 eV per atom
Uncorrected energy   -5.786 eV per atom

Cell: 4.429 9.759 10.305 Å, 108.29 90.00 90.00°
Last column: magnetic moment on the atom in μB.
Atoms (fractional coordinates):
K1 0.750 0.799 0.760  0.00
K2 0.250 0.201 0.240  0.00
U1 0.250 0.671 0.149  2.64
U2 0.750 0.329 0.851  2.64
Mn1 0.250 0.080 0.593  3.79
Mn2 0.750 0.920 0.407  3.79
Te1 0.250 0.787 0.467  0.01
Te2 0.750 0.891 0.137  -0.04
Te3 0.750 0.456 0.167  -0.06
Te4 0.750 0.213 0.533  0.01
Te5 0.250 0.544 0.833  -0.06
Te6 0.250 0.109 0.863  -0.04


Entry 2:
Below is KMnVTe3 after structural relaxation, with properties calculated at the PBE level.

Calculated values
Raw formation energy   -0.472 eV per atom
Uncorrected energy   -5.274 eV per atom

Cell: 3.966 9.057 10.649 Å, 115.44 90.00 90.00°
Last column: magnetic moment on the atom in μB.
Atoms (fractional coordinates):
K1 0.250 0.253 0.271  0.00
K2 0.750 0.747 0.729  0.00
Mn1 0.250 0.089 0.623  3.69
Mn2 0.750 0.911 0.377  3.69
V1 0.250 0.700 0.166  -1.69
V2 0.750 0.300 0.834  -1.69
Te1 0.750 0.891 0.127  0.06
Te2 0.250 0.109 0.873  0.06
Te3 0.250 0.758 0.445  0.01
Te4 0.750 0.242 0.555  0.01
Te5 0.750 0.462 0.126  0.09
Te6 0.250 0.538 0.874  0.09


Entry 3:
Below is KYMnTe3 after structural relaxation, with properties calculated at the PBE level.

Calculated values
Raw formation energy   -0.974 eV per atom
Uncorrected energy   -5.333 eV per atom

Cell: 4.469 9.677 10.462 Å, 107.93 90.00 90.00°
Last column: magnetic moment on the atom in μB.
Atoms (fractional coordinates):
K1 0.250 0.205 0.237  0.00
K2 0.750 0.795 0.763  0.00
Y1 0.250 0.669 0.140  0.04
Y2 0.750 0.331 0.860  0.04
Mn1 0.250 0.084 0.605  4.17
Mn2 0.750 0.916 0.395  4.17
Te1 0.750 0.892 0.134  0.04
Te2 0.250 0.108 0.866  0.04
Te3 0.250 0.785 0.465  0.08
Te4 0.750 0.215 0.535  0.08
Te5 0.750 0.460 0.166  0.02
Te6 0.250 0.540 0.834  0.02


Entry 4:
Below is K3Y3MnTe8 after structural relaxation, with properties calculated at the PBE level.

Calculated values
Raw formation energy   -1.101 eV per atom
Uncorrected energy   -4.900 eV per atom

Cell: 8.727 8.731 9.841 Å, 116.36 90.00 120.00°
Last column: magnetic moment on the atom in μB.
Atoms (fractional coordinates):
K1 0.000 0.000 0.000  0.00
K2 0.000 0.500 0.000  0.00
K3 0.500 0.500 0.000  0.00
Y1 0.500 0.000 0.500  0.01
Y2 0.500 0.500 0.500  0.01
Y3 0.000 0.500 0.500  0.01
Mn1 0.000 0.000 0.500  3.42
Te1 0.263 0.526 0.290  0.00
Te2 0.737 0.474 0.710  0.00
Te3 0.784 0.567 0.308  -0.06
Te4 0.216 0.433 0.692  -0.06
Te5 0.784 0.024 0.308  -0.06
Te6 0.216 0.976 0.692  -0.06
Te7 0.240 0.024 0.308  -0.06
Te8 0.760 0.976 0.692  -0.06


Record order is preserved below.
Density of states at the Fermi level: 7.2 3.6 0.5 2.6 states/eV/f.u.